TbY2Tm, relaxed, DFT PBE; spin magnetization = 0.00 μB/cell; density = 6548 kg/m³; space-group type = P1 (1); ΔH_f (0 K) = 0.00 eV per atom; volume = 32.059 Å³ per atom; offset from the most stable computed form = 0 meV/atom
1.0
3.6277 0.0000 0.0000
-0.0033 6.2739 0.0000
-1.8103 -3.1377 5.6344
Tb Y Tm
1 2 1
direct
0.0000 0.0000 0.0000
0.5033 0.5035 0.0064
0.7496 0.4166 0.5021
0.2510 0.9200 0.5045

Tb5YTm, relaxed, DFT PBE; spin magnetization = 0.00 μB/cell; density = 5847 kg/m³; space-group type = Immm (71); ΔH_f (0 K) = 1.10 eV per atom; volume = 42.699 Å³ per atom; offset from the most stable computed form = 911 meV/atom
1.0
-2.8895 4.3167 5.9907
2.8895 -4.3167 5.9907
2.8895 4.3167 -5.9907
Tb Y Tm
5 1 1
direct
0.0000 0.0000 0.0000
0.2463 0.7463 0.5000
0.3226 0.5000 0.8226
0.6774 0.5000 0.1774
0.7537 0.2537 0.5000
0.0000 0.5000 0.5000
0.5000 0.0000 0.5000